No. 1
{
  "formula": "BaCrSe2",
  "functional": "SCAN",
  "state": "single point on PBEsol structure",
  "crystal_system": "monoclinic",
  "energy_ev_per_fu": -103.6,
  "e_form_raw_ev_per_atom": -1.386,
  "lattice_angstrom": [[3.7202, 0.0000, 0.0000], [0.0000, 4.2306, 0.1621], [0.0000, -0.2048, 7.0122]],
  "species": ["Ba", "Cr", "Se", "Se"],
  "frac_coords": [[0.5000, 0.0000, 0.5000], [0.5000, 0.5000, 0.0000], [0.0000, 0.4955, 0.7590], [0.0000, 0.5045, 0.2410]]
}

No. 2
{
  "formula": "BaCrSn3",
  "functional": "SCAN",
  "state": "single point on PBEsol structure",
  "crystal_system": "cubic",
  "energy_ev_per_fu": -158.9,
  "lattice_angstrom": [[5.9849, 0.0000, 0.0000], [0.0000, 5.9849, 0.0000], [0.0000, 0.0000, 5.9849]],
  "species": ["Cr", "Ba", "Sn", "Sn", "Sn"],
  "frac_coords": [[0.5000, 0.5000, 0.5000], [0.0000, 0.0000, 0.0000], [0.0000, 0.5000, 0.0000], [0.0000, 0.0000, 0.5000], [0.5000, 0.0000, 0.0000]]
}

No. 3
{
  "formula": "BaSrCr4",
  "functional": "SCAN",
  "state": "single point on PBEsol structure",
  "crystal_system": "cubic",
  "energy_ev_per_fu": -131.5,
  "lattice_angstrom": [[5.9817, 0.0000, 0.0000], [2.9908, 5.1803, 0.0000], [2.9908, 1.7268, 4.8840]],
  "species": ["Ba", "Cr", "Cr", "Cr", "Cr", "Sr"],
  "frac_coords": [[0.0000, 0.0000, 0.0000], [0.3755, 0.3755, 0.3755], [0.3755, 0.3755, 0.8736], [0.8736, 0.3755, 0.3755], [0.3755, 0.8736, 0.3755], [0.7500, 0.7500, 0.7500]]
}

No. 4
{
  "formula": "BaTaCr2",
  "functional": "SCAN",
  "state": "single point on PBEsol structure",
  "crystal_system": "monoclinic",
  "energy_ev_per_fu": -139.1,
  "lattice_angstrom": [[-1.9461, -0.3530, -2.3586], [-1.1721, -3.1030, 3.4401], [-3.6691, 4.7651, 2.3141]],
  "species": ["Ba", "Cr", "Cr", "Ta"],
  "frac_coords": [[0.0000, 0.0000, 0.5000], [0.7636, 0.5272, 0.8845], [0.2364, 0.4728, 0.1155], [0.5000, 0.0000, 0.0000]]
}

No. 5
{
  "formula": "BaTaCr2",
  "functional": "SCAN",
  "state": "single point on PBEsol structure",
  "crystal_system": "trigonal",
  "energy_ev_per_fu": -139.1,
  "lattice_angstrom": [[3.1564, 0.0000, 0.0000], [1.5782, 2.7335, 0.0000], [1.5782, 0.9112, 9.1561]],
  "species": ["Ba", "Cr", "Cr", "Ta"],
  "frac_coords": [[0.0000, 0.0000, 0.0000], [0.2334, 0.2334, 0.2999], [0.7666, 0.7666, 0.7001], [0.5000, 0.5000, 0.5000]]
}

No. 6
{
  "formula": "Ba2TaCr",
  "functional": "SCAN",
  "state": "single point on PBEsol structure",
  "crystal_system": "tetragonal",
  "energy_ev_per_fu": -159.2,
  "lattice_angstrom": [[-1.7332, -2.9212, -0.2559], [3.6184, -1.7699, -4.3035], [3.5577, -2.4615, 4.0037]],
  "species": ["Ba", "Ba", "Cr", "Ta"],
  "frac_coords": [[0.0000, 0.0000, 0.5000], [0.0000, 0.5000, 0.0000], [0.5000, 0.5000, 0.5000], [0.5000, 0.0000, 0.0000]]
}